VASP calculation (PBE with a Hubbard U) on a relaxed Cs2CrGaO4 crystal.

a b c (Å): 12.5414 11.1558 6.8830
angles (deg): 84.57 62.32 33.12
Fractional positions:
Cs (0.0498, 0.0498, 0.7002)
Cs (0.2998, 0.2998, 0.9502)
Cs (0.7002, 0.7002, 0.0498)
Cs (0.9502, 0.9502, 0.2998)
Cr (0.1250, 0.1250, 0.1250)
Cr (0.8750, 0.8750, 0.8750)
Ga (0.3750, 0.3750, 0.3750)
Ga (0.6250, 0.6250, 0.6250)
O (0.0096, 0.6571, 0.5832)
O (0.2500, 0.5832, 0.6571)
O (0.3429, 0.9904, 0.7500)
O (0.4168, 0.7500, 0.9904)
O (0.5832, 0.2500, 0.0096)
O (0.6571, 0.0096, 0.2500)
O (0.7500, 0.4168, 0.3429)
O (0.9904, 0.3429, 0.4168)

- Calculated volume: 23.10 Å³ per atom
- DOS at the Fermi energy: 0.00 states/eV per cell
- Total DFT energy (no corrections): -5.633 eV/atom